NbCoPdI2 | PBE | optimized geometry

formation energy (no corrections): 1.1252 eV per atom
E: -3.97 eV per atom
total magnetization: 2.81 μB/cell

Cell: 5.373 5.373 4.975 Å, 90.00 90.00 90.00°
Site moments in Bohr magnetons follow the coordinates.
Element x y z (fractional)
I: 0.000 0.500 0.000  0.03
Pd: 0.000 0.000 0.500  0.03
Co: 0.500 0.500 0.500  2.34
Nb: 0.000 0.000 0.000  0.09
I: 0.500 0.000 0.000  0.03

NbCo2PtI | PBE | optimized geometry

formation energy (no corrections): 1.4874 eV per atom
E: -4.89 eV per atom
total magnetization: 3.37 μB/cell

Cell: 4.480 5.010 4.480 Å, 90.00 90.00 90.00°
Site moments in Bohr magnetons follow the coordinates.
Element x y z (fractional)
Co: 0.500 0.000 0.000  0.67
I: 0.000 0.000 0.000  0.01
Pt: 0.000 0.500 0.000  0.03
Nb: 0.500 0.500 0.500  1.64
Co: 0.000 0.000 0.500  0.64

Rb2NbCoI6 | PBE | optimized geometry

formation energy (no corrections): -0.5775 eV per atom
E: -3.42 eV per atom
total magnetization: 4.23 μB/cell

Cell: 8.091 8.091 8.087 Å, 59.99 59.99 90.00°
Site moments in Bohr magnetons follow the coordinates.
Element x y z (fractional)
Co: 0.500 0.500 0.000  1.89
Nb: 0.000 0.000 0.000  1.83
Rb: 0.750 0.250 0.500  0.00
I: 0.747 0.253 0.000  0.01
Rb: 0.250 0.750 0.500  0.00
I: 0.747 0.747 0.000  0.01
I: 0.747 0.747 0.506  0.01
I: 0.253 0.253 0.000  0.01
I: 0.253 0.747 0.000  0.01
I: 0.253 0.253 0.494  0.01

NbCoSb2I | PBE | optimized geometry

ΔE to the lowest computed polymorph: 0.000 eV/atom
formation energy (no corrections): 0.9058 eV per atom
E: -4.49 eV per atom
total magnetization: 0.00 μB/cell

Cell: 4.850 4.850 5.140 Å, 90.00 90.00 90.00°
Element x y z (fractional)
Sb: 0.000 0.500 0.000
I: 0.000 0.000 0.500
Co: 0.000 0.000 0.000
Sb: 0.500 0.000 0.000
Nb: 0.500 0.500 0.500